Record 1
AcYSe2, relaxed, DFT PBE; total magnetization = 0.00 μB per cell; E = -46.45 eV per cell; energy relative to the elements, uncorrected = -548 kJ/mol of formula units
1.0
4.4521 0.0000 0.0000
0.0000 9.5389 0.0000
0.0000 0.0000 6.8566
Ac Y Se
2 2 4
direct
0.0000 0.0940 0.0000 Ac
0.5000 0.9060 0.5000 Ac
0.0000 0.6486 0.8763 Y
0.5000 0.3514 0.3763 Y
0.0000 0.4138 0.1426 Se
0.0000 0.8145 0.2076 Se
0.5000 0.1855 0.7076 Se
0.5000 0.5862 0.6426 Se

---

Record 2
K2Rb2Cr, relaxed, DFT PBE; total magnetization = 5.13 μB per cell; formation enthalpy at 0 K = 0.73 eV/atom; E = -10.08 eV per cell
1.0
-2.8077 2.8077 11.3090
2.8077 -2.8077 11.3090
2.8077 2.8077 -11.3090
K Rb Cr
2 2 1
direct
0.0816 0.0816 0.0000 K
0.9184 0.9184 0.0000 K
0.2500 0.7500 0.5000 Rb
0.7500 0.2500 0.5000 Rb
0.5000 0.5000 0.0000 Cr

---

Record 3
SbAuBr, relaxed, DFT PBE; total magnetization = 0.00 μB per cell; E = -8.29 eV per cell; energy relative to the elements, uncorrected = 75 kJ/mol of formula units
1.0
0.0000 3.5076 3.5076
3.5076 0.0000 3.5076
3.5076 3.5076 0.0000
Sb Au Br
1 1 1
direct
0.0000 0.0000 0.0000 Sb
0.7500 0.7500 0.7500 Au
0.2500 0.2500 0.2500 Br

---

Number 1: calculated density 5404 kg/m3. Number 2: calculated density 1402 kg/m3. Number 3: calculated density 7670 kg/m3.